1.
{"formula": "Mg2Cd5Hg2", "functional": "PBE", "state": "optimized geometry", "lattice": [[6.2328, 0.0000, 0.0000], [0.0000, 7.5804, 0.0000], [-3.1164, -3.7902, 9.1010]], "species": ["Mg", "Mg", "Mg", "Mg", "Cd", "Cd", "Cd", "Cd", "Cd", "Cd", "Cd", "Cd", "Cd", "Cd", "Hg", "Hg", "Hg", "Hg"], "fractional_positions": [[0.2168, 0.6187, 0.1527], [0.7832, 0.4660, 0.8473], [0.4358, 0.1187, 0.1527], [0.5641, 0.9660, 0.8473], [0.3066, 0.6318, 0.8430], [0.6934, 0.7888, 0.1570], [0.0364, 0.1318, 0.8430], [0.9636, 0.2888, 0.1570], [0.1747, 0.0331, 0.3323], [0.8253, 0.7009, 0.6677], [0.6576, 0.5331, 0.3323], [0.3424, 0.2009, 0.6677], [0.3686, 0.7854, 0.5000], [0.6314, 0.2854, 0.5000], [0.0000, 0.8609, 0.0000], [0.5000, 0.3609, 0.0000], [0.1228, 0.4504, 0.5000], [0.8772, 0.9504, 0.5000]], "n_ef_per_ev_atom": 0.31, "sg": "Ima2, No. 46", "polymorph_energy_ev_per_atom": 0.027}


2.
{"formula": "Mg2Cd5Hg2", "functional": "PBE", "state": "optimized geometry", "lattice": [[4.9945, 0.0117, 1.4308], [1.5879, 8.6940, 3.9847], [-0.0275, 0.1552, 9.6933]], "species": ["Mg", "Mg", "Mg", "Mg", "Cd", "Cd", "Cd", "Cd", "Cd", "Cd", "Cd", "Cd", "Cd", "Cd", "Hg", "Hg", "Hg", "Hg"], "fractional_positions": [[0.0000, 0.0625, 0.9375], [0.5000, 0.5625, 0.4375], [0.8327, 0.3168, 0.1835], [0.1673, 0.8165, 0.6832], [0.2984, 0.7638, 0.1401], [0.7016, 0.8599, 0.2362], [0.2962, 0.2666, 0.6371], [0.7038, 0.3629, 0.7334], [0.0997, 0.9658, 0.3327], [0.9003, 0.6673, 0.0342], [0.1028, 0.4660, 0.8325], [0.8972, 0.1675, 0.5340], [0.5010, 0.5666, 0.9335], [0.4990, 0.0665, 0.4334], [0.7974, 0.6994, 0.5691], [0.2026, 0.4309, 0.3006], [0.4326, 0.1967, 0.0664], [0.5674, 0.9336, 0.8033]], "n_ef_per_ev_atom": 0.32, "sg": "C2, No. 5", "polymorph_energy_ev_per_atom": 0.000}


3.
{"formula": "Mg2Cd5Hg12", "functional": "PBE", "state": "optimized geometry", "lattice": [[-5.0333, -2.2179, -7.3238], [8.5636, 0.9065, -0.4326], [0.0800, -6.8045, 2.0057]], "species": ["Mg", "Mg", "Cd", "Cd", "Cd", "Cd", "Cd", "Hg", "Hg", "Hg", "Hg", "Hg", "Hg", "Hg", "Hg", "Hg", "Hg", "Hg", "Hg"], "fractional_positions": [[0.7163, 0.0000, 0.0000], [0.2837, 0.0000, 0.0000], [0.2236, 0.4473, 0.5562], [0.3094, 0.6187, 0.0314], [0.0000, 0.0000, 0.5000], [0.6906, 0.3813, 0.9686], [0.7764, 0.5527, 0.4438], [0.9083, 0.8165, 0.0929], [0.0302, 0.6359, 0.7750], [0.6057, 0.6359, 0.7750], [0.1802, 0.7891, 0.3538], [0.6089, 0.7891, 0.3538], [0.4378, 0.8756, 0.7036], [0.5622, 0.1244, 0.2964], [0.8198, 0.2109, 0.6462], [0.3911, 0.2109, 0.6462], [0.9698, 0.3641, 0.2250], [0.3943, 0.3641, 0.2250], [0.0917, 0.1835, 0.9071]], "n_ef_per_ev_atom": 0.37, "sg": "C2/m, No. 12", "polymorph_energy_ev_per_atom": 0.002}


4.
{"formula": "Mg6CdHg12", "functional": "PBE", "state": "optimized geometry", "lattice": [[8.2717, -0.2217, -0.3122], [-2.2652, 7.9586, -0.3122], [-2.2652, -2.9178, 7.4111]], "species": ["Mg", "Mg", "Mg", "Mg", "Mg", "Mg", "Cd", "Hg", "Hg", "Hg", "Hg", "Hg", "Hg", "Hg", "Hg", "Hg", "Hg", "Hg", "Hg"], "fractional_positions": [[0.7077, 0.3023, 0.3023], [0.3023, 0.3023, 0.7077], [0.3023, 0.7077, 0.3023], [0.6977, 0.6977, 0.2923], [0.2923, 0.6977, 0.6977], [0.6977, 0.2923, 0.6977], [0.0000, 0.0000, 0.0000], [0.8864, 0.1136, 0.5000], [0.8830, 0.6434, 0.6434], [0.6434, 0.6434, 0.8830], [0.3566, 0.1170, 0.3566], [0.3566, 0.3566, 0.1170], [0.1170, 0.3566, 0.3566], [0.1136, 0.5000, 0.8864], [0.5000, 0.8864, 0.1136], [0.1136, 0.8864, 0.5000], [0.8864, 0.5000, 0.1136], [0.5000, 0.1136, 0.8864], [0.6434, 0.8830, 0.6434]], "n_ef_per_ev_atom": 0.36, "sg": "R-3m, No. 166", "polymorph_energy_ev_per_atom": 0.009}


5.
{"formula": "Mg9Cd2Hg", "functional": "PBE", "state": "optimized geometry", "lattice": [[4.4050, 0.0000, 0.0000], [0.0000, 4.4050, 0.0000], [0.0000, 0.0000, 13.5573]], "species": ["Mg", "Mg", "Mg", "Mg", "Mg", "Mg", "Mg", "Mg", "Mg", "Cd", "Cd", "Hg"], "fractional_positions": [[0.5000, 0.5000, 0.0000], [0.5000, 0.5000, 0.3311], [0.5000, 0.5000, 0.6689], [0.5000, 0.0000, 0.1637], [0.5000, 0.0000, 0.5000], [0.5000, 0.0000, 0.8363], [0.0000, 0.5000, 0.1637], [0.0000, 0.5000, 0.5000], [0.0000, 0.5000, 0.8363], [0.0000, 0.0000, 0.3321], [0.0000, 0.0000, 0.6679], [0.0000, 0.0000, 0.0000]], "n_ef_per_ev_atom": 0.58, "sg": "P4/mmm, No. 123"}


6.
{"formula": "Mg3Cd4Hg8", "functional": "PBE", "state": "optimized geometry", "lattice": [[6.5435, -0.0970, -0.1394], [-3.1688, 7.7587, 0.7355], [-3.1688, -2.0036, 7.5316]], "species": ["Mg", "Mg", "Mg", "Cd", "Cd", "Cd", "Cd", "Hg", "Hg", "Hg", "Hg", "Hg", "Hg", "Hg", "Hg"], "fractional_positions": [[0.5000, 0.5000, 0.0000], [0.5000, 0.0000, 0.5000], [0.5000, 0.5000, 0.5000], [0.5000, 0.0000, 0.0000], [0.0000, 0.5000, 0.0000], [0.0000, 0.0000, 0.0000], [0.0000, 0.0000, 0.5000], [0.5337, 0.2693, 0.2693], [0.0000, 0.7365, 0.2635], [0.0059, 0.2677, 0.2677], [0.5000, 0.7464, 0.2536], [0.5000, 0.2536, 0.7464], [0.9941, 0.7323, 0.7323], [0.0000, 0.2635, 0.7365], [0.4663, 0.7307, 0.7307]], "n_ef_per_ev_atom": 0.36, "sg": "C2/m, No. 12"}


7.
{"formula": "Mg2CdHg", "functional": "PBE", "state": "optimized geometry", "lattice": [[4.4787, 0.0000, 0.0000], [0.0000, 4.4787, 0.0000], [2.2393, 2.2393, 9.8771]], "species": ["Mg", "Mg", "Mg", "Mg", "Hg", "Hg", "Cd", "Cd"], "fractional_positions": [[0.6270, 0.1250, 0.2500], [0.1230, 0.6250, 0.2500], [0.3750, 0.3730, 0.7500], [0.8750, 0.8770, 0.7500], [0.0000, 0.0000, 0.0000], [0.7500, 0.2500, 0.5000], [0.5000, 0.5000, 0.0000], [0.2500, 0.7500, 0.5000]], "n_ef_per_ev_atom": 0.44, "sg": "I-42d, No. 122", "polymorph_energy_ev_per_atom": 0.192}


8.
{"formula": "Mg2CdHg2", "functional": "PBE", "state": "optimized geometry", "lattice": [[7.9379, 0.0000, 0.0000], [0.0000, 7.9379, 0.0000], [0.0000, 0.0000, 3.6558]], "species": ["Mg", "Mg", "Mg", "Mg", "Hg", "Hg", "Hg", "Hg", "Cd", "Cd"], "fractional_positions": [[0.3581, 0.8581, 0.0000], [0.8581, 0.6419, 0.0000], [0.6419, 0.1419, 0.0000], [0.1419, 0.3581, 0.0000], [0.1580, 0.6580, 0.5000], [0.6580, 0.8420, 0.5000], [0.8420, 0.3420, 0.5000], [0.3420, 0.1580, 0.5000], [0.0000, 0.0000, 0.0000], [0.5000, 0.5000, 0.0000]], "n_ef_per_ev_atom": 0.29, "sg": "P4/mbm, No. 127", "polymorph_energy_ev_per_atom": 0.039}


| no. | calculated formation energy (eV per atom) | volume (Å³/atom) | energy (eV/atom) |
| --- | --- | --- | --- |
| 1 | 0.00 | 23.9 | -0.932 |
| 2 | -0.03 | 23.2 | -0.959 |
| 3 | -0.01 | 24.8 | -0.605 |
| 4 | -0.08 | 24.7 | -0.820 |
| 5 | -0.08 | 21.9 | -1.458 |
| 6 | -0.02 | 25.7 | -0.742 |
| 7 | 0.02 | 24.8 | -1.077 |
| 8 | -0.10 | 23.0 | -1.043 |